No. 1
{
  "formula": "Tb2PmSm2Y4",
  "functional": "PBE",
  "state": "optimized geometry",
  "cell": [[3.621, 0.000, 0.000], [-1.810, 9.388, -0.502], [0.000, -3.711, 8.881]],
  "species": ["Tb", "Tb", "Pm", "Sm", "Sm", "Y", "Y", "Y", "Y"],
  "frac_coords": [[0.852, 0.704, 0.335], [0.148, 0.296, 0.665], [0.000, 0.000, 0.000], [0.333, 0.666, 0.001], [0.667, 0.334, 0.999], [0.814, 0.628, 0.665], [0.186, 0.372, 0.335], [0.519, 0.038, 0.336], [0.481, 0.962, 0.664]],
  "dos_at_fermi_per_ev_cell": 12.310,
  "formation_enthalpy_0k_mev_per_atom": -5,
  "dft_energy_ev_per_atom": -5.483,
  "m_tot_mub_per_atom": 0.000,
  "rho_g_cm3": 6.297
}

No. 2
{
  "formula": "Sr8HgAu2",
  "functional": "PBE",
  "state": "optimized geometry",
  "cell": [[6.551, 0.158, -1.040], [-2.064, 7.876, -3.187], [0.020, 0.006, 8.744]],
  "species": ["Sr", "Sr", "Sr", "Sr", "Sr", "Sr", "Sr", "Sr", "Hg", "Au", "Au"],
  "frac_coords": [[0.577, 0.339, 0.075], [0.577, 0.075, 0.339], [0.182, 0.373, 0.373], [0.984, 0.228, 0.774], [0.984, 0.774, 0.228], [0.793, 0.634, 0.634], [0.385, 0.932, 0.665], [0.385, 0.665, 0.932], [0.153, 0.007, 0.007], [0.490, 0.692, 0.316], [0.490, 0.316, 0.692]],
  "dos_at_fermi_per_ev_cell": 10.141,
  "formation_enthalpy_0k_mev_per_atom": -360,
  "dft_energy_ev_per_atom": -2.206,
  "m_tot_mub_per_atom": 0.000,
  "rho_g_cm3": 4.735
}

No. 3
{
  "formula": "Nd3SmSb3",
  "functional": "PBE",
  "state": "optimized geometry",
  "cell": [[-4.161, -7.688, 3.687], [8.515, -3.951, 1.372], [0.424, 3.911, 8.633]],
  "species": ["Nd", "Nd", "Nd", "Nd", "Nd", "Nd", "Nd", "Nd", "Nd", "Nd", "Nd", "Nd", "Sm", "Sm", "Sm", "Sm", "Sb", "Sb", "Sb", "Sb", "Sb", "Sb", "Sb", "Sb", "Sb", "Sb", "Sb", "Sb"],
  "frac_coords": [[0.821, 0.321, 0.179], [0.931, 0.931, 0.931], [0.821, 0.679, 0.321], [0.179, 0.821, 0.321], [0.179, 0.179, 0.179], [0.321, 0.821, 0.679], [0.069, 0.431, 0.569], [0.321, 0.179, 0.821], [0.679, 0.321, 0.821], [0.679, 0.679, 0.679], [0.569, 0.069, 0.431], [0.431, 0.569, 0.069], [0.071, 0.571, 0.929], [0.929, 0.071, 0.571], [0.429, 0.429, 0.429], [0.571, 0.929, 0.071], [0.752, 0.626, 0.999], [0.874, 0.001, 0.252], [0.999, 0.752, 0.626], [0.126, 0.501, 0.248], [0.248, 0.126, 0.501], [0.252, 0.874, 0.001], [0.001, 0.252, 0.874], [0.374, 0.499, 0.748], [0.501, 0.248, 0.126], [0.626, 0.999, 0.752], [0.748, 0.374, 0.499], [0.499, 0.748, 0.374]],
  "raw_formation_energy_mev_per_atom": -1059,
  "dos_at_fermi_per_ev_cell": 28.139,
  "dft_energy_ev_per_atom": -5.543,
  "m_tot_mub_per_atom": 0.000,
  "polymorph_energy_mev_per_atom": 0.0,
  "rho_g_cm3": 7.377
}